[1]
Crystalline LiCaBN2 at its relaxed geometry. Source: Alexandria, functional PBE.

The magnetization comes out at 0.0 μB/cell. The density of states at the Fermi level is 0.00 states/eV per cell. The value obtained for the formation energy from raw total energies is -1000 meV/atom. As for the density: 2.5 Mg/m³.

a = 3.7221 Å, b = 5.2561 Å, c = 6.0745 Å
α = 102.19°, β = 90.00°, γ = 90.00°
Closest atoms and distances in Å follow each position.
Element x y z (fractional)
1 N 0.2099 0.2151 0.0308  1 B 1.35
2 N 0.7901 0.2151 0.5308  1 B 1.35
3 N 0.2099 0.7849 0.4692  1 B 1.35
4 N 0.7901 0.7849 0.9692  1 B 1.35
5 B 0.0000 0.0000 0.5000  2 N 1.35
6 B 0.0000 0.0000 0.0000  2 N 1.35
7 Ca 0.7548 0.5000 0.2500  6 N 2.46-2.70
8 Ca 0.2452 0.5000 0.7500  6 N 2.46-2.70
9 Li 0.5281 0.0000 0.7500  4 N 2.15-2.19, 2 B 2.32
10 Li 0.4719 0.0000 0.2500  4 N 2.15-2.19, 2 B 2.32

---

[2]
Crystalline Rb2CdAu2 at its relaxed geometry. Source: Alexandria, functional PBE.

The magnetization comes out at 0.0 μB/cell. The density of states at the Fermi level is 0.00 states/eV per cell. As for the density: 5.7 Mg/m³. The value obtained for the energy above the lowest structure with this stoichiometry is 0.91 eV per formula unit. Its formation enthalpy at 0 K is -69.2 meV per atom.

a = 9.7115 Å, b = 9.7115 Å, c = 4.1543 Å
α = 90.00°, β = 90.00°, γ = 90.00°
Closest atoms and distances in Å follow each position.
Element x y z (fractional)
1 Au 0.3473 0.1527 0.5000  6 Rb 3.48-3.55
2 Au 0.1527 0.6527 0.5000  6 Rb 3.48-3.55
3 Au 0.6527 0.8473 0.5000  6 Rb 3.48-3.55
4 Au 0.8473 0.3473 0.5000  6 Rb 3.48-3.55
5 Rb 0.1440 0.3560 0.0000  6 Au 3.48-3.55, 2 Cd 3.73
6 Rb 0.8560 0.6440 0.0000  6 Au 3.48-3.55, 2 Cd 3.73
7 Rb 0.6440 0.1440 0.0000  6 Au 3.48-3.55, 2 Cd 3.73
8 Rb 0.3560 0.8560 0.0000  6 Au 3.48-3.55, 2 Cd 3.73
9 Cd 0.0000 0.0000 0.0000  4 Rb 3.73, 2 Cd 4.15
10 Cd 0.5000 0.5000 0.0000  4 Rb 3.73, 2 Cd 4.15